# 1
The following is a DFT calculation (GGA-PBE) of a relaxed structure of AlFeCl.

Properties
Its theoretical density is 3.86 Mg/m³. The value obtained for the density of states at the Fermi level is 1.694 states/eV/f.u. The value obtained for the relative energy among the computed polymorphs is 0.0805 eV/atom. Its uncorrected formation energy is 0.054 eV/atom. The value obtained for the total magnetization is 2.601 μB/f.u. The total energy is -4.630 eV/atom.

CIF file:
```
data_AlFeCl
_chemical_formula_sum 'Al1 Fe1 Cl1'
_cell_length_a 6.0080
_cell_length_b 6.0077
_cell_length_c 3.0081
_cell_angle_alpha 75.51
_cell_angle_beta 75.50
_cell_angle_gamma 29.00
_symmetry_space_group_name_H-M 'P 1'
_symmetry_Int_Tables_number 1
loop_
_symmetry_equiv_pos_as_xyz
'x,y,z'
loop_
_atom_site_label
_atom_site_type_symbol
_atom_site_fract_x
_atom_site_fract_y
_atom_site_fract_z
Al1 Al 0.0364 0.0364 0.9636
Cl1 Cl 0.3027 0.3027 0.6973
Fe1 Fe 0.6608 0.6608 0.3392
```


# 2
The following is a DFT calculation (GGA-PBE) of a relaxed structure of Rb2H3S2.

Properties
Its theoretical density is 2.68 Mg/m³. The value obtained for the density of states at the Fermi level is 4.781 states/eV/f.u. The value obtained for the total magnetization is 0.001 μB/f.u. The total energy is -3.307 eV/atom.

CIF file:
```
data_Rb2H3S2
_chemical_formula_sum 'Rb2 H3 S2'
_cell_length_a 5.8019
_cell_length_b 4.3581
_cell_length_c 5.8781
_cell_angle_alpha 90.00
_cell_angle_beta 96.75
_cell_angle_gamma 90.00
_symmetry_space_group_name_H-M 'P 1'
_symmetry_Int_Tables_number 1
loop_
_symmetry_equiv_pos_as_xyz
'x,y,z'
loop_
_atom_site_label
_atom_site_type_symbol
_atom_site_fract_x
_atom_site_fract_y
_atom_site_fract_z
H1 H 0.4438 0.0000 0.4442
H2 H 0.0000 0.0000 0.0000
H3 H 0.5562 0.0000 0.5558
Rb1 Rb 0.2527 0.5000 0.7492
Rb2 Rb 0.7473 0.5000 0.2508
S1 S 0.2080 0.0000 0.2070
S2 S 0.7920 0.0000 0.7930
```


# 3
The following is a DFT calculation (GGA-PBE) of a relaxed structure of BaSc2Se.

Properties
Its theoretical density is 4.48 Mg/m³. The value obtained for the density of states at the Fermi level is 6.787 states/eV/f.u. Its uncorrected formation energy is -0.035 eV/atom. The value obtained for the total magnetization is 1.641 μB/f.u. The total energy is -4.553 eV/atom.

CIF file:
```
data_BaSc2Se
_chemical_formula_sum 'Ba1 Sc2 Se1'
_cell_length_a 5.4348
_cell_length_b 5.4348
_cell_length_c 5.4348
_cell_angle_alpha 60.00
_cell_angle_beta 60.00
_cell_angle_gamma 60.00
_symmetry_space_group_name_H-M 'P 1'
_symmetry_Int_Tables_number 1
loop_
_symmetry_equiv_pos_as_xyz
'x,y,z'
loop_
_atom_site_label
_atom_site_type_symbol
_atom_site_fract_x
_atom_site_fract_y
_atom_site_fract_z
Se1 Se 0.7500 0.7500 0.7500
Sc1 Sc 0.0000 0.0000 0.0000
Sc2 Sc 0.2500 0.2500 0.2500
Ba1 Ba 0.5000 0.5000 0.5000
```


# 4
The following is a DFT calculation (GGA-PBE) of a relaxed structure of Rb2HOsO6.

Properties
Its theoretical density is 4.05 Mg/m³. The value obtained for the total magnetization is 1.057 μB/f.u. The total energy is -5.774 eV/atom.

CIF file:
```
data_Rb2HOsO6
_chemical_formula_sum 'Rb2 H1 Os1 O6'
_cell_length_a 6.5410
_cell_length_b 6.4164
_cell_length_c 6.9194
_cell_angle_alpha 120.71
_cell_angle_beta 120.56
_cell_angle_gamma 95.78
_symmetry_space_group_name_H-M 'P 1'
_symmetry_Int_Tables_number 1
loop_
_symmetry_equiv_pos_as_xyz
'x,y,z'
loop_
_atom_site_label
_atom_site_type_symbol
_atom_site_fract_x
_atom_site_fract_y
_atom_site_fract_z
O1 O 0.7986 0.7746 0.5181
O2 O 0.2038 0.2696 0.0359
O3 O 0.8239 0.1961 0.9511
O4 O 0.2122 0.8406 0.9658
O5 O 0.1418 0.1375 0.3472
O6 O 0.6914 0.6935 0.7924
H1 H 0.6178 0.6193 0.3845
Rb1 Rb 0.2239 0.7774 0.5100
Rb2 Rb 0.7960 0.2178 0.5175
Os1 Os 0.9895 0.9774 0.9755
```


# 5
The following is a DFT calculation (GGA-PBE) of a relaxed structure of Ac3SmPb2.

Properties
Its theoretical density is 9.09 Mg/m³. The value obtained for the density of states at the Fermi level is 8.661 states/eV/f.u. The value obtained for the relative energy among the computed polymorphs is 0.0000 eV/atom. The value obtained for the total magnetization is 0.014 μB/f.u. The total energy is -4.471 eV/atom.

CIF file:
```
data_Ac3SmPb2
_chemical_formula_sum 'Ac3 Sm1 Pb2'
_cell_length_a 4.9580
_cell_length_b 4.9580
_cell_length_c 9.2547
_cell_angle_alpha 90.00
_cell_angle_beta 90.00
_cell_angle_gamma 90.00
_symmetry_space_group_name_H-M 'P 1'
_symmetry_Int_Tables_number 1
loop_
_symmetry_equiv_pos_as_xyz
'x,y,z'
loop_
_atom_site_label
_atom_site_type_symbol
_atom_site_fract_x
_atom_site_fract_y
_atom_site_fract_z
Ac1 Ac 0.0000 0.0000 0.0000
Ac2 Ac 0.0000 0.5000 0.6514
Ac3 Ac 0.5000 0.0000 0.3486
Pb1 Pb 0.0000 0.5000 0.2747
Pb2 Pb 0.5000 0.0000 0.7253
Sm1 Sm 0.5000 0.5000 0.0000
```


# 6
The following is a DFT calculation (GGA-PBE) of a relaxed structure of Tb5Dy3P8.

Properties
Its theoretical density is 6.92 Mg/m³. The value obtained for the density of states at the Fermi level is 2.215 states/eV/f.u. The value obtained for the total magnetization is 0.000 μB/f.u. The total energy is -6.628 eV/atom.

CIF file:
```
data_Tb5Dy3P8
_chemical_formula_sum 'Tb5 Dy3 P8'
_cell_length_a 8.0381
_cell_length_b 8.0381
_cell_length_c 8.0399
_cell_angle_alpha 60.01
_cell_angle_beta 60.01
_cell_angle_gamma 60.00
_symmetry_space_group_name_H-M 'P 1'
_symmetry_Int_Tables_number 1
loop_
_symmetry_equiv_pos_as_xyz
'x,y,z'
loop_
_atom_site_label
_atom_site_type_symbol
_atom_site_fract_x
_atom_site_fract_y
_atom_site_fract_z
Tb1 Tb 0.5000 0.5000 0.0000
Tb2 Tb 0.0000 0.0000 0.0000
Tb3 Tb 0.0000 0.5000 0.0000
Tb4 Tb 0.5000 0.5000 0.5000
Tb5 Tb 0.5000 0.0000 0.0000
P1 P 0.7504 0.7504 0.7487
P2 P 0.2500 0.2500 0.7491
P3 P 0.2491 0.7500 0.2509
P4 P 0.7500 0.2491 0.2509
P5 P 0.2500 0.7509 0.7491
P6 P 0.2496 0.2496 0.2513
P7 P 0.7500 0.7500 0.2509
P8 P 0.7509 0.2500 0.7491
Dy1 Dy 0.0000 0.0000 0.5000
Dy2 Dy 0.0000 0.5000 0.5000
Dy3 Dy 0.5000 0.0000 0.5000
```


# 7
The following is a DFT calculation (GGA-PBE) of a relaxed structure of BTeIN2.

Properties
Its theoretical density is 4.07 Mg/m³. The value obtained for the density of states at the Fermi level is 2.540 states/eV/f.u. The value obtained for the relative energy among the computed polymorphs is 0.3388 eV/atom. Its uncorrected formation energy is 2.346 eV/atom. The value obtained for the total magnetization is 0.000 μB/f.u. The total energy is -3.258 eV/atom.

CIF file:
```
data_BTeIN2
_chemical_formula_sum 'B1 Te1 I1 N2'
_cell_length_a 3.8650
_cell_length_b 3.8650
_cell_length_c 8.0027
_cell_angle_alpha 90.00
_cell_angle_beta 90.00
_cell_angle_gamma 90.00
_symmetry_space_group_name_H-M 'P 1'
_symmetry_Int_Tables_number 1
loop_
_symmetry_equiv_pos_as_xyz
'x,y,z'
loop_
_atom_site_label
_atom_site_type_symbol
_atom_site_fract_x
_atom_site_fract_y
_atom_site_fract_z
N1 N 0.5000 0.0000 0.0000
N2 N 0.0000 0.5000 0.0000
Te1 Te 0.0000 0.0000 0.5000
I1 I 0.0000 0.0000 0.0000
B1 B 0.5000 0.5000 0.5000
```


# 8
The following is a DFT calculation (GGA-PBE) of a relaxed structure of TmCo3B3.

Properties
Its theoretical density is 7.76 Mg/m³. The value obtained for the density of states at the Fermi level is 2.668 states/eV/f.u. The value obtained for the relative energy among the computed polymorphs is 0.0000 eV/atom. The value obtained for the total magnetization is 0.000 μB/f.u. The total energy is -6.728 eV/atom.

CIF file:
```
data_TmCo3B3
_chemical_formula_sum 'Tm2 Co6 B6'
_cell_length_a 5.4500
_cell_length_b 5.4500
_cell_length_c 5.4500
_cell_angle_alpha 90.00
_cell_angle_beta 90.00
_cell_angle_gamma 90.00
_symmetry_space_group_name_H-M 'P 1'
_symmetry_Int_Tables_number 1
loop_
_symmetry_equiv_pos_as_xyz
'x,y,z'
loop_
_atom_site_label
_atom_site_type_symbol
_atom_site_fract_x
_atom_site_fract_y
_atom_site_fract_z
Co1 Co 0.5000 0.2500 0.0000
Co2 Co 0.5000 0.7500 0.0000
Co3 Co 0.2500 0.0000 0.5000
Co4 Co 0.7500 0.0000 0.5000
Co5 Co 0.0000 0.5000 0.7500
Co6 Co 0.0000 0.5000 0.2500
B1 B 0.0000 0.2500 0.5000
B2 B 0.5000 0.0000 0.7500
B3 B 0.0000 0.7500 0.5000
B4 B 0.2500 0.5000 0.0000
B5 B 0.7500 0.5000 0.0000
B6 B 0.5000 0.0000 0.2500
Tm1 Tm 0.0000 0.0000 0.0000
Tm2 Tm 0.5000 0.5000 0.5000
```


# 9
The following is a DFT calculation (GGA-PBE) of a relaxed structure of PrSmHgPt.

Properties
Its theoretical density is 11.17 Mg/m³. The value obtained for the density of states at the Fermi level is 3.533 states/eV/f.u. The value obtained for the total magnetization is 0.000 μB/f.u. The total energy is -4.679 eV/atom.

CIF file:
```
data_PrSmHgPt
_chemical_formula_sum 'Pr1 Sm1 Hg1 Pt1'
_cell_length_a 5.2461
_cell_length_b 5.2461
_cell_length_c 5.2461
_cell_angle_alpha 60.00
_cell_angle_beta 60.00
_cell_angle_gamma 60.00
_symmetry_space_group_name_H-M 'P 1'
_symmetry_Int_Tables_number 1
loop_
_symmetry_equiv_pos_as_xyz
'x,y,z'
loop_
_atom_site_label
_atom_site_type_symbol
_atom_site_fract_x
_atom_site_fract_y
_atom_site_fract_z
Pr1 Pr 0.0000 0.0000 0.0000
Pt1 Pt 0.7500 0.7500 0.7500
Sm1 Sm 0.5000 0.5000 0.5000
Hg1 Hg 0.2500 0.2500 0.2500
```


# 10
The following is a DFT calculation (GGA-PBE) of a relaxed structure of FeBAsC.

Properties
Its theoretical density is 4.55 Mg/m³. The value obtained for the density of states at the Fermi level is 0.788 states/eV/f.u. The value obtained for the relative energy among the computed polymorphs is 0.1207 eV/atom. The value obtained for the total magnetization is 0.000 μB/f.u. The total energy is -7.008 eV/atom.

CIF file:
```
data_FeBAsC
_chemical_formula_sum 'Fe2 B2 As2 C2'
_cell_length_a 2.8801
_cell_length_b 2.7497
_cell_length_c 14.1762
_cell_angle_alpha 90.00
_cell_angle_beta 93.19
_cell_angle_gamma 90.00
_symmetry_space_group_name_H-M 'P 1'
_symmetry_Int_Tables_number 1
loop_
_symmetry_equiv_pos_as_xyz
'x,y,z'
loop_
_atom_site_label
_atom_site_type_symbol
_atom_site_fract_x
_atom_site_fract_y
_atom_site_fract_z
Fe1 Fe 0.9249 0.0000 0.4220
Fe2 Fe 0.9249 0.5000 0.9220
B1 B 0.3995 0.0000 0.8295
B2 B 0.3995 0.5000 0.3295
As1 As 0.4550 0.5000 0.5313
As2 As 0.4550 0.0000 0.0313
C1 C 0.8966 0.0000 0.8190
C2 C 0.8966 0.5000 0.3190
```


# 11
The following is a DFT calculation (GGA-PBE) of a relaxed structure of K2Ti2Br7.

Properties
Its theoretical density is 2.87 Mg/m³. The value obtained for the density of states at the Fermi level is 1.033 states/eV/f.u. Its uncorrected formation energy is -1.269 eV/atom. The value obtained for the total magnetization is 1.004 μB/f.u. The total energy is -3.969 eV/atom.

CIF file:
```
data_K2Ti2Br7
_chemical_formula_sum 'K2 Ti2 Br7'
_cell_length_a 7.4164
_cell_length_b 8.4183
_cell_length_c 8.4183
_cell_angle_alpha 123.92
_cell_angle_beta 96.34
_cell_angle_gamma 96.34
_symmetry_space_group_name_H-M 'P 1'
_symmetry_Int_Tables_number 1
loop_
_symmetry_equiv_pos_as_xyz
'x,y,z'
loop_
_atom_site_label
_atom_site_type_symbol
_atom_site_fract_x
_atom_site_fract_y
_atom_site_fract_z
Br1 Br 0.0000 0.0000 0.0000
Br2 Br 0.2219 0.6008 0.9120
Br3 Br 0.7781 0.3992 0.0880
Br4 Br 0.2219 0.9120 0.6008
Br5 Br 0.2534 0.4301 0.4301
Br6 Br 0.7781 0.0880 0.3992
Br7 Br 0.7466 0.5699 0.5699
K1 K 0.5000 0.3034 0.6966
K2 K 0.5000 0.6966 0.3034
Ti1 Ti 0.9123 0.3150 0.3150
Ti2 Ti 0.0877 0.6850 0.6850
```


# 12
The following is a DFT calculation (GGA-PBE) of a relaxed structure of AlTc.

Properties
Its theoretical density is 6.91 Mg/m³. The value obtained for the density of states at the Fermi level is 1.827 states/eV/f.u. The value obtained for the relative energy among the computed polymorphs is 0.2744 eV/atom. The value obtained for the total magnetization is 0.000 μB/f.u. The total energy is -7.192 eV/atom.

CIF file:
```
data_AlTc
_chemical_formula_sum 'Al2 Tc2'
_cell_length_a 2.8234
_cell_length_b 2.8234
_cell_length_c 8.7013
_cell_angle_alpha 90.00
_cell_angle_beta 90.00
_cell_angle_gamma 120.00
_symmetry_space_group_name_H-M 'P 1'
_symmetry_Int_Tables_number 1
loop_
_symmetry_equiv_pos_as_xyz
'x,y,z'
loop_
_atom_site_label
_atom_site_type_symbol
_atom_site_fract_x
_atom_site_fract_y
_atom_site_fract_z
Tc1 Tc 0.0000 0.0000 0.5072
Tc2 Tc 0.6667 0.3333 0.7428
Al1 Al 0.6667 0.3333 0.2602
Al2 Al 0.0000 0.0000 0.9898
```


# 13
The following is a DFT calculation (GGA-PBE) of a relaxed structure of Re2Tc4Os.

Properties
Its theoretical density is 14.30 Mg/m³. The value obtained for the density of states at the Fermi level is 6.548 states/eV/f.u. The value obtained for the total magnetization is 0.000 μB/f.u. The total energy is -10.718 eV/atom.

CIF file:
```
data_Re2Tc4Os
_chemical_formula_sum 'Re2 Tc4 Os1'
_cell_length_a 4.2296
_cell_length_b 7.5057
_cell_length_c 4.2248
_cell_angle_alpha 124.26
_cell_angle_beta 90.00
_cell_angle_gamma 90.00
_symmetry_space_group_name_H-M 'P 1'
_symmetry_Int_Tables_number 1
loop_
_symmetry_equiv_pos_as_xyz
'x,y,z'
loop_
_atom_site_label
_atom_site_type_symbol
_atom_site_fract_x
_atom_site_fract_y
_atom_site_fract_z
Tc1 Tc 0.0000 0.7307 0.2305
Tc2 Tc 0.5000 0.7297 0.7300
Tc3 Tc 0.0000 0.2693 0.7695
Tc4 Tc 0.5000 0.2703 0.2700
Os1 Os 0.0000 0.0000 0.0000
Re1 Re 0.5000 0.0000 0.5000
Re2 Re 0.0000 0.5000 0.5000
```